Record 1
Below is an optimized crystal structure of MnSiOs2, with properties calculated at the GGA-PBE level.

Unit cell a=2.824 b=4.571 c=4.202 alpha=90.00 beta=90.00 gamma=90.00
Fractional positions:
Si  0.500  0.000  0.500
Os  0.500  0.500  0.000
Os  0.000  0.000  0.000
Mn  0.000  0.500  0.500

Output
DOS(E_F): 3.5 states/eV/f.u.
formation energy from raw total energies: 155 meV/atom
space group: Pmmm (47)
mass density: 14.19 g/cm³
E: -9.108 eV per atom



Record 2
Below is an optimized crystal structure of AcPm4Nd4, with properties calculated at the GGA-PBE level.

Unit cell a=9.204 b=10.606 c=12.930 alpha=84.23 beta=76.40 gamma=142.76
Fractional positions:
Nd  0.164  0.500  0.137
Pm  0.836  0.499  0.363
Ac  0.500  0.500  0.250
Nd  0.494  0.160  0.195
Ac  0.500  0.500  0.750
Pm  0.505  0.839  0.306
Pm  0.169  0.168  0.583
Nd  0.171  0.837  0.525
Pm  0.495  0.161  0.694
Pm  0.164  0.501  0.637
Pm  0.832  0.832  0.917
Nd  0.506  0.840  0.805
Pm  0.168  0.168  0.083
Nd  0.829  0.163  0.475
Nd  0.829  0.162  0.975
Pm  0.831  0.832  0.417
Nd  0.171  0.838  0.025
Nd  0.836  0.500  0.863

Output
DOS(E_F): 12.5 states/eV/f.u.
space group: P-1 (2)
energy above the lowest structure with this stoichiometry: 0.0 meV per atom
mass density: 7.10 g/cm³
E: -4.672 eV per atom
formation energy: 0.015 eV/atom



Record 3
Below is an optimized crystal structure of Cs2Ca2Cd, with properties calculated at the GGA-PBE level.

Unit cell a=8.562 b=8.562 c=7.547 alpha=90.00 beta=90.00 gamma=90.00
Fractional positions:
Cs  0.181  0.681  0.500
Cs  0.819  0.319  0.500
Cs  0.681  0.819  0.500
Ca  0.665  0.165  0.000
Cd  0.000  0.000  0.000
Ca  0.165  0.335  0.000
Cd  0.500  0.500  0.000
Ca  0.335  0.835  0.000
Ca  0.835  0.665  0.000
Cs  0.319  0.181  0.500

Output
DOS(E_F): 3.1 states/eV/f.u.
space group: P4/mbm (127)
mass density: 2.75 g/cm³
E: -1.190 eV per atom
formation energy: 0.136 eV/atom



Record 4
Below is an optimized crystal structure of NdGdHoTh, with properties calculated at the GGA-PBE level.

Unit cell a=5.707 b=5.707 c=5.707 alpha=60.00 beta=60.00 gamma=60.00
Fractional positions:
Ho  0.750  0.750  0.750
Nd  0.000  0.000  0.000
Gd  0.250  0.250  0.250
Th  0.500  0.500  0.500

Output
DOS(E_F): 8.1 states/eV/f.u.
space group: F-43m (216)
mass density: 8.82 g/cm³
E: -7.566 eV per atom
formation energy: 0.145 eV/atom



Record 5
Below is an optimized crystal structure of CaSb2Te2, with properties calculated at the GGA-PBE level.

Unit cell a=8.541 b=8.541 c=4.335 alpha=90.00 beta=90.00 gamma=90.00
Fractional positions:
Ca  0.500  0.500  0.000
Sb  0.683  0.817  0.500
Te  0.654  0.154  0.000
Sb  0.183  0.683  0.500
Sb  0.317  0.183  0.500
Te  0.154  0.346  0.000
Te  0.846  0.654  0.000
Sb  0.817  0.317  0.500
Ca  0.000  0.000  0.000
Te  0.346  0.846  0.000

Output
DOS(E_F): 2.1 states/eV/f.u.
formation energy from raw total energies: -335 meV/atom
space group: P4/mbm (127)
energy above the lowest structure with this stoichiometry: 44.2 meV per atom
mass density: 5.66 g/cm³
E: -3.641 eV per atom



Record 6
Below is an optimized crystal structure of Ho6In3Pt, with properties calculated at the GGA-PBE level.

Unit cell a=5.243 b=9.169 c=11.510 alpha=108.19 beta=90.00 gamma=90.00
Fractional positions:
Ho  0.750  0.900  0.138
In  0.750  0.223  0.027
Ho  0.750  0.865  0.838
Ho  0.250  0.135  0.162
Ho  0.250  0.680  0.666
Ho  0.250  0.856  0.330
In  0.250  0.777  0.973
Ho  0.750  0.775  0.502
Ho  0.750  0.538  0.916
Ho  0.250  0.225  0.498
In  0.250  0.516  0.377
In  0.750  0.484  0.623
Pt  0.250  0.958  0.604
Pt  0.750  0.042  0.396
Ho  0.250  0.462  0.084
In  0.250  0.393  0.781
Ho  0.250  0.100  0.862
Ho  0.750  0.144  0.670
In  0.750  0.607  0.219
Ho  0.750  0.320  0.334

Output
DOS(E_F): 9.7 states/eV/f.u.
space group: P2_1/m (11)
mass density: 9.66 g/cm³
E: -4.685 eV per atom
formation energy: -0.513 eV/atom